Entry 1:
YTm2Mg3Ir3 | PBE | relaxed

a = 4.0320 Å, b = 7.2297 Å, c = 7.2297 Å
α = 120.20°, β = 90.00°, γ = 90.00°
Fractional positions:
Y: 0.0000 0.0000 0.0000
Tm: 0.0000 0.4100 0.8175
Tm: 0.0000 0.8175 0.4100
Mg: 0.5000 0.1645 0.4097
Mg: 0.5000 0.4097 0.1645
Mg: 0.5000 0.6567 0.6567
Ir: 0.0000 0.4138 0.4138
Ir: 0.5000 0.0784 0.7397
Ir: 0.5000 0.7397 0.0784

Values from the calculation:
- Total magnetic moment: 0.00 μB per cell
- Raw total energy: -5.876 eV per atom

=====

Entry 2:
Tl2AgPdCl6 | PBE | relaxed

a = 7.1217 Å, b = 7.1217 Å, c = 7.1213 Å
α = 119.96°, β = 119.96°, γ = 60.05°
Fractional positions:
Tl: 0.2499 0.2499 0.2499
Tl: 0.7501 0.7501 0.7501
Ag: 0.0000 0.0000 0.5000
Pd: 0.5000 0.5000 0.0000
Cl: 0.2583 0.7405 0.2408
Cl: 0.2587 0.2587 0.7580
Cl: 0.2595 0.7417 0.7592
Cl: 0.7405 0.2583 0.2408
Cl: 0.7413 0.7413 0.2420
Cl: 0.7417 0.2595 0.7592

Values from the calculation:
- Raw total energy: -3.068 eV per atom

=====

Entry 3:
LaMg4Cd8 | PBE | relaxed

a = 7.6075 Å, b = 7.6075 Å, c = 7.6075 Å
α = 98.99°, β = 98.99°, γ = 133.43°
Fractional positions:
La: 0.0000 0.0000 0.0000
Mg: 0.0000 0.0000 0.5000
Mg: 0.0000 0.5000 0.0000
Mg: 0.5000 0.0000 0.0000
Mg: 0.5000 0.5000 0.5000
Cd: 0.0000 0.3480 0.3480
Cd: 0.0000 0.6520 0.6520
Cd: 0.2837 0.5000 0.7837
Cd: 0.3480 0.0000 0.3480
Cd: 0.5000 0.2837 0.7837
Cd: 0.5000 0.7163 0.2163
Cd: 0.6520 0.0000 0.6520
Cd: 0.7163 0.5000 0.2163

Values from the calculation:
- Total magnetic moment: 0.00 μB per cell
- Raw total energy: -1.609 eV per atom

=====

Entry 4:
Nb4AsSN2 | PBE | relaxed

a = 3.3173 Å, b = 3.3173 Å, c = 11.7815 Å
α = 90.00°, β = 90.00°, γ = 120.00°
Fractional positions:
Nb: 0.0000 0.0000 0.1534
Nb: 0.0000 0.0000 0.8466
Nb: 0.3333 0.6667 0.3384
Nb: 0.3333 0.6667 0.6616
As: 0.0000 0.0000 0.5000
S: 0.3333 0.6667 0.0000
N: 0.6667 0.3333 0.2453
N: 0.6667 0.3333 0.7547

Values from the calculation:
- Total magnetic moment: 0.00 μB per cell
- Raw total energy: -8.993 eV per atom

=====

Entry 5:
TbGeTe3Au | PBE | relaxed

a = 13.3527 Å, b = 4.4234 Å, c = 12.2055 Å
α = 90.00°, β = 90.00°, γ = 90.00°
Fractional positions:
Tb: 0.0278 0.2500 0.1997
Tb: 0.4722 0.7500 0.6997
Tb: 0.5278 0.2500 0.3003
Tb: 0.9722 0.7500 0.8003
Ge: 0.2359 0.7500 0.8951
Ge: 0.2641 0.2500 0.3951
Ge: 0.7359 0.7500 0.6049
Ge: 0.7641 0.2500 0.1049
Te: 0.0484 0.7500 0.3703
Te: 0.0964 0.2500 0.9461
Te: 0.1871 0.7500 0.6715
Te: 0.3129 0.2500 0.1715
Te: 0.4036 0.7500 0.4461
Te: 0.4516 0.2500 0.8703
Te: 0.5484 0.7500 0.1297
Te: 0.5964 0.2500 0.5539
Te: 0.6871 0.7500 0.8285
Te: 0.8129 0.2500 0.3285
Te: 0.9036 0.7500 0.0539
Te: 0.9516 0.2500 0.6297
Au: 0.2016 0.7500 0.2263
Au: 0.2984 0.2500 0.7263
Au: 0.7016 0.7500 0.2737
Au: 0.7984 0.2500 0.7737

Values from the calculation:
- Total magnetic moment: 0.01 μB per cell
- Raw total energy: -4.223 eV per atom

=====

Entry 6:
TbPuPBr2 | PBE | relaxed

a = 4.0393 Å, b = 4.0393 Å, c = 10.6322 Å
α = 90.00°, β = 90.00°, γ = 120.00°
Fractional positions:
Tb: 0.0000 0.0000 0.0000
Pu: 0.3333 0.6667 0.7065
P: 0.6667 0.3333 0.8558
Br: 0.0000 0.0000 0.5336
Br: 0.3333 0.6667 0.1708

Values from the calculation:
- Total magnetic moment: 5.66 μB per cell
- Raw total energy: -7.133 eV per atom

=====

Question: What is the formula in the second record?
Answer: Tl2AgPdCl6

=====

Please write out number 4 again, unchanged.
Nb4AsSN2 | PBE | relaxed

a = 3.3173 Å, b = 3.3173 Å, c = 11.7815 Å
α = 90.00°, β = 90.00°, γ = 120.00°
Fractional positions:
Nb: 0.0000 0.0000 0.1534
Nb: 0.0000 0.0000 0.8466
Nb: 0.3333 0.6667 0.3384
Nb: 0.3333 0.6667 0.6616
As: 0.0000 0.0000 0.5000
S: 0.3333 0.6667 0.0000
N: 0.6667 0.3333 0.2453
N: 0.6667 0.3333 0.7547

Values from the calculation:
- Total magnetic moment: 0.00 μB per cell
- Raw total energy: -8.993 eV per atom